This record from the Alexandria database describes a relaxed structure of Li2MnP2O7. The functional is GGA+U.

It has space group P2_1/c (No. 14), with a = 8.5190 Å, b = 5.1542 Å, c = 14.6645 Å, α = 90.00°, β = 117.74° and γ = 90.00°. The distinct sites, in fractional coordinates, are Li at (0.0087, 0.1845, 0.0734), Li at (0.4217, 0.1698, 0.2907), Mn at (0.2726, 0.1839, 0.5003), P at (0.1889, 0.6971, 0.1546), P at (0.2995, 0.6873, 0.3750), O at (0.0113, 0.6979, 0.5680), O at (0.1542, 0.7197, 0.2542), O at (0.2059, 0.6930, 0.9328), O at (0.2159, 0.0917, 0.6380), O at (0.3320, 0.1042, 0.8939), O at (0.3477, 0.6350, 0.6731) and O at (0.4607, 0.6520, 0.8899).

The energy above the most stable polymorph in this dataset is 19 meV per atom. The electronic total energy is -6.98 eV/atom. The calculation puts the density at 2.83 g/cm³. For the spin magnetization, the calculation gives 5.00 μB per formula unit.